Density functional theory data (PBE) for Sm2ThRu3 after structural relaxation.

POSCAR file:
```
Sm2ThRu3
1.0
2.479 -7.414 0.000
2.479 7.414 0.000
0.000 0.000 7.010
Sm Th Ru
4 2 6
Cartesian
0.000 0.000 0.000
0.000 0.000 3.505
2.479 2.466 0.000
2.479 -2.466 0.000
2.479 2.429 3.505
2.479 -2.429 3.505
2.479 4.884 1.856
2.479 4.884 5.154
2.479 0.000 1.812
2.479 0.000 5.199
2.479 -4.884 1.856
2.479 -4.884 5.154
```

Energy relative to the elements (eV/atom): -0.2956
E_tot (eV for the cell shown): -92.92
Space group: Cmmm (65)


Density functional theory data (PBE) for SmTh2Ru after structural relaxation.

POSCAR file:
```
SmTh2Ru
1.0
3.634 0.000 0.000
0.000 3.634 0.000
0.000 0.000 8.397
Sm Th Ru
1 2 1
Cartesian
0.000 0.000 0.000
1.817 1.817 2.546
1.817 1.817 5.850
0.000 0.000 4.198
```

Offset from the most stable computed form (meV/atom): 192
Energy relative to the elements (eV/atom): -0.0993
E_tot (eV for the cell shown): -29.23
Space group: P4/mmm (123)


Density functional theory data (PBE) for Sm3Th2Ru2 after structural relaxation.

POSCAR file:
```
Sm3Th2Ru2
1.0
12.342 0.000 0.000
0.000 3.913 0.000
-2.923 0.000 8.097
Sm Th Ru
6 4 4
Cartesian
0.000 0.000 0.000
0.293 0.000 3.426
2.955 1.956 4.671
6.171 1.956 0.000
6.464 1.956 3.426
9.126 0.000 4.671
-0.317 1.956 6.540
3.564 0.000 1.557
5.854 0.000 6.540
9.735 1.956 1.557
1.718 1.956 1.568
1.530 0.000 6.529
7.889 0.000 1.568
7.701 1.956 6.529
```

Energy relative to the elements (eV/atom): -0.2863
E_tot (eV for the cell shown): -99.11
Space group: C2/m (12)


Density functional theory data (PBE) for Sm2ThRu after structural relaxation.

POSCAR file:
```
Sm2ThRu
1.0
3.854 0.000 0.000
0.000 12.099 0.000
0.000 0.000 9.845
Sm Th Ru
8 4 4
Cartesian
0.000 1.699 0.679
0.000 1.699 4.244
0.000 10.400 5.601
0.000 10.400 9.166
1.927 4.350 5.601
1.927 4.350 9.166
1.927 7.748 0.679
1.927 7.748 4.244
0.000 5.016 2.461
0.000 7.083 7.384
1.927 1.034 7.384
1.927 11.065 2.461
0.000 2.902 7.384
0.000 9.197 2.461
1.927 3.147 2.461
1.927 8.952 7.384
```

Offset from the most stable computed form (meV/atom): 49
Energy relative to the elements (eV/atom): -0.2463
E_tot (eV for the cell shown): -108.48
Space group: Cmcm (63)


Density functional theory data (PBE) for SmThRu after structural relaxation.

POSCAR file:
```
SmThRu
1.0
3.600 0.000 0.000
0.000 3.600 0.000
0.000 0.000 11.622
Sm Th Ru
2 2 2
Cartesian
0.000 0.000 0.000
1.800 1.800 5.811
0.000 0.000 3.359
1.800 1.800 9.170
0.000 0.000 7.800
1.800 1.800 1.989
```

Offset from the most stable computed form (meV/atom): 19
Energy relative to the elements (eV/atom): -0.2084
E_tot (eV for the cell shown): -44.08
Space group: I4mm (107)


Density functional theory data (PBE) for Sm2ThRu after structural relaxation.

POSCAR file:
```
Sm2ThRu
1.0
3.483 0.000 0.000
-1.742 3.017 0.000
0.000 0.000 32.818
Sm Th Ru
6 3 3
Cartesian
0.000 0.000 3.474
0.000 0.000 29.344
0.000 2.011 18.405
0.000 2.011 25.353
1.742 1.006 7.465
1.742 1.006 14.414
0.000 0.000 0.000
0.000 2.011 21.879
1.742 1.006 10.939
0.000 0.000 16.409
0.000 2.011 5.470
1.742 1.006 27.349
```

Offset from the most stable computed form (meV/atom): 504
Energy relative to the elements (eV/atom): 0.2090
E_tot (eV for the cell shown): -75.89
Space group: R-3m (166)


Density functional theory data (PBE) for SmThZnRu after structural relaxation.

POSCAR file:
```
SmThZnRu
1.0
7.165 0.000 0.000
0.000 7.165 0.000
0.000 0.000 7.165
Sm Th Zn Ru
4 4 4 4
Cartesian
0.000 0.000 0.000
0.000 3.582 3.582
3.582 0.000 3.582
3.582 3.582 0.000
0.000 0.000 3.582
0.000 3.582 0.000
3.582 0.000 0.000
3.582 3.582 3.582
1.791 1.791 5.373
1.791 5.373 1.791
5.373 1.791 1.791
5.373 5.373 5.373
1.791 1.791 1.791
1.791 5.373 5.373
5.373 1.791 5.373
5.373 5.373 1.791
```

Energy relative to the elements (eV/atom): -0.2727
E_tot (eV for the cell shown): -95.12
Space group: F-43m (216)


Density functional theory data (PBE) for SmTiRu2 after structural relaxation.

POSCAR file:
```
SmTiRu2
1.0
3.220 0.000 0.000
0.000 3.220 0.000
0.000 0.000 6.788
Sm Ti Ru
1 1 2
Cartesian
0.000 0.000 0.000
0.000 0.000 3.394
1.610 1.610 1.946
1.610 1.610 4.842
```

Energy relative to the elements (eV/atom): -0.3717
E_tot (eV for the cell shown): -32.65
Space group: P4/mmm (123)